1.
The following is a PBE calculation of an optimized crystal structure of La4Nd3Sm5, from Alexandria via LeMat-Bulk.

The structure in POSCAR format:
```
La4Nd3Sm5
1.0
6.388 0.000 0.000
-0.012 7.355 0.000
-0.024 -0.065 9.005
La Nd Sm
4 3 5
direct
0.166 0.248 0.167 La
0.333 0.499 0.833 La
0.667 0.501 0.167 La
0.834 0.752 0.833 La
0.000 0.000 0.500 Nd
0.499 0.751 0.500 Nd
0.501 0.249 0.500 Nd
0.000 0.500 0.500 Sm
0.167 0.751 0.168 Sm
0.334 0.000 0.833 Sm
0.666 0.000 0.167 Sm
0.833 0.249 0.832 Sm
```

Summary:
- Density: 6830 kg/m3
- Size of the total moment: 0.00 μB/atom
- ΔE_f: 0.0170 eV per atom
- Total energy: -57.405 eV per cell

=====

2.
The following is a PBE calculation of an optimized crystal structure of La6NdSm3, from Alexandria via LeMat-Bulk.

The structure in POSCAR format:
```
La6NdSm3
1.0
5.078 2.932 4.085
-5.078 2.932 4.085
0.000 -5.863 4.085
La Nd Sm
6 1 3
direct
0.010 0.331 0.659 La
0.158 0.831 0.510 La
0.331 0.659 0.010 La
0.510 0.158 0.831 La
0.659 0.010 0.331 La
0.831 0.510 0.158 La
0.331 0.331 0.331 Nd
0.081 0.081 0.081 Sm
0.583 0.583 0.583 Sm
0.831 0.831 0.831 Sm
```

Summary:
- Density: 6504 kg/m3
- Size of the total moment: 0.00 μB/atom
- ΔE_f: 0.1867 eV per atom
- Total energy: -46.623 eV per cell

=====

3.
The following is a PBE calculation of an optimized crystal structure of La3Nd6Sm, from Alexandria via LeMat-Bulk.

The structure in POSCAR format:
```
La3Nd6Sm
1.0
5.597 -9.843 0.000
5.597 9.843 0.000
0.000 0.000 6.507
La Nd Sm
6 12 2
direct
0.115 0.885 0.500 La
0.210 0.443 0.116 La
0.443 0.210 0.616 La
0.557 0.790 0.116 La
0.790 0.557 0.616 La
0.885 0.115 0.000 La
0.028 0.445 0.709 Nd
0.128 0.213 0.525 Nd
0.213 0.128 0.025 Nd
0.220 0.780 0.936 Nd
0.445 0.028 0.209 Nd
0.466 0.534 0.714 Nd
0.534 0.466 0.214 Nd
0.555 0.972 0.709 Nd
0.780 0.220 0.436 Nd
0.787 0.872 0.525 Nd
0.872 0.787 0.025 Nd
0.972 0.555 0.209 Nd
0.311 0.689 0.475 Sm
0.689 0.311 0.975 Sm
```

Summary:
- Density: 6635 kg/m3
- Size of the total moment: 0.00 μB/atom
- ΔE_f: 0.1263 eV per atom
- Total energy: -93.692 eV per cell

=====

4.
The following is a PBE calculation of an optimized crystal structure of La12Nd3Sm, from Alexandria via LeMat-Bulk.

The structure in POSCAR format:
```
La12Nd3Sm
1.0
5.244 0.000 0.000
0.000 5.244 0.000
0.000 0.000 20.996
La Nd Sm
12 3 1
direct
0.000 0.000 0.000 La
0.000 0.000 0.249 La
0.000 0.000 0.500 La
0.000 0.000 0.751 La
0.000 0.500 0.124 La
0.000 0.500 0.375 La
0.000 0.500 0.625 La
0.000 0.500 0.876 La
0.500 0.000 0.124 La
0.500 0.000 0.375 La
0.500 0.000 0.625 La
0.500 0.000 0.876 La
0.500 0.500 0.250 Nd
0.500 0.500 0.500 Nd
0.500 0.500 0.750 Nd
0.500 0.500 0.000 Sm
```

Summary:
- Density: 6470 kg/m3
- Size of the total moment: 0.00 μB/atom
- ΔE_f: 0.0056 eV per atom
- Total energy: -78.062 eV per cell

=====

5.
The following is a PBE calculation of an optimized crystal structure of La2Nd3Sm6, from Alexandria via LeMat-Bulk.

The structure in POSCAR format:
```
La2Nd3Sm6
1.0
3.005 -5.805 0.000
3.005 5.805 0.000
-1.634 0.000 11.272
La Nd Sm
2 3 6
direct
0.139 0.861 0.000 La
0.861 0.139 0.000 La
0.177 0.823 0.500 Nd
0.500 0.500 0.500 Nd
0.823 0.177 0.500 Nd
0.086 0.086 0.266 Sm
0.275 0.590 0.778 Sm
0.410 0.725 0.222 Sm
0.590 0.275 0.778 Sm
0.725 0.410 0.222 Sm
0.914 0.914 0.734 Sm
```

Summary:
- Density: 6809 kg/m3
- Size of the total moment: 0.00 μB/atom
- ΔE_f: 0.1478 eV per atom
- Total energy: -50.848 eV per cell

=====

6.
The following is a PBE calculation of an optimized crystal structure of La2NdSm4, from Alexandria via LeMat-Bulk.

The structure in POSCAR format:
```
La2NdSm4
1.0
6.296 0.000 0.000
0.000 6.718 0.000
-3.093 0.000 11.518
La Nd Sm
4 2 8
direct
0.103 0.250 0.496 La
0.355 0.750 0.053 La
0.645 0.250 0.947 La
0.897 0.750 0.504 La
0.490 0.750 0.648 Nd
0.510 0.250 0.352 Nd
0.144 0.003 0.786 Sm
0.144 0.497 0.786 Sm
0.202 0.250 0.065 Sm
0.346 0.750 0.340 Sm
0.654 0.250 0.660 Sm
0.798 0.750 0.935 Sm
0.856 0.503 0.214 Sm
0.856 0.997 0.214 Sm
```

Summary:
- Density: 6978 kg/m3
- Size of the total moment: 0.00 μB/atom
- ΔE_f: 0.1107 eV per atom
- Total energy: -65.448 eV per cell

=====

7.
The following is a PBE calculation of an optimized crystal structure of LaNd10Sm4, from Alexandria via LeMat-Bulk.

The structure in POSCAR format:
```
LaNd10Sm4
1.0
-6.448 6.448 3.467
6.448 -6.448 3.467
6.448 6.448 -3.467
La Nd Sm
1 10 4
direct
0.000 0.000 0.000 La
0.044 0.623 0.162 Nd
0.118 0.956 0.579 Nd
0.250 0.750 0.500 Nd
0.377 0.539 0.421 Nd
0.461 0.882 0.838 Nd
0.539 0.118 0.162 Nd
0.623 0.461 0.579 Nd
0.750 0.250 0.500 Nd
0.882 0.044 0.421 Nd
0.956 0.377 0.838 Nd
0.322 0.433 0.756 Sm
0.433 0.678 0.111 Sm
0.567 0.322 0.889 Sm
0.678 0.567 0.244 Sm
```

Summary:
- Density: 6285 kg/m3
- Size of the total moment: 0.00 μB/atom
- ΔE_f: 0.4924 eV per atom
- Total energy: -64.097 eV per cell

=====

8.
The following is a PBE calculation of an optimized crystal structure of La3NdSm2, from Alexandria via LeMat-Bulk.

The structure in POSCAR format:
```
La3NdSm2
1.0
6.794 0.000 0.000
0.000 18.370 0.000
0.000 0.000 3.499
La Nd Sm
6 2 4
direct
0.000 0.000 0.000 La
0.225 0.315 0.000 La
0.275 0.815 0.500 La
0.500 0.500 0.500 La
0.725 0.185 0.500 La
0.775 0.685 0.000 La
0.000 0.500 0.000 Nd
0.500 0.000 0.500 Nd
0.222 0.148 0.500 Sm
0.278 0.648 0.000 Sm
0.722 0.352 0.000 Sm
0.778 0.852 0.500 Sm
```

Summary:
- Density: 6554 kg/m3
- Size of the total moment: 0.00 μB/atom
- ΔE_f: 0.2270 eV per atom
- Total energy: -55.252 eV per cell

=====

9.
The following is a PBE calculation of an optimized crystal structure of La2Nd5Sm2, from Alexandria via LeMat-Bulk.

The structure in POSCAR format:
```
La2Nd5Sm2
1.0
7.813 -2.611 0.000
7.813 2.611 0.000
-2.610 0.000 7.804
La Nd Sm
2 5 2
direct
0.166 0.166 0.000 La
0.834 0.834 0.000 La
0.056 0.056 0.336 Nd
0.389 0.389 0.335 Nd
0.500 0.500 0.000 Nd
0.611 0.611 0.665 Nd
0.944 0.944 0.664 Nd
0.277 0.277 0.664 Sm
0.723 0.723 0.336 Sm
```

Summary:
- Density: 6778 kg/m3
- Size of the total moment: 0.00 μB/atom
- ΔE_f: 0.0147 eV per atom
- Total energy: -43.000 eV per cell

=====

10.
The following is a PBE calculation of an optimized crystal structure of LaNd14Sm, from Alexandria via LeMat-Bulk.

The structure in POSCAR format:
```
LaNd14Sm
1.0
11.926 0.000 0.000
0.000 3.704 6.413
0.000 -3.704 6.413
La Nd Sm
1 14 1
direct
0.000 0.000 0.000 La
0.000 0.001 0.499 Nd
0.000 0.499 0.001 Nd
0.248 0.666 0.666 Nd
0.251 0.167 0.666 Nd
0.251 0.666 0.167 Nd
0.252 0.167 0.167 Nd
0.500 0.334 0.334 Nd
0.500 0.335 0.833 Nd
0.500 0.833 0.335 Nd
0.500 0.833 0.833 Nd
0.748 0.167 0.167 Nd
0.749 0.167 0.666 Nd
0.749 0.666 0.167 Nd
0.752 0.666 0.666 Nd
0.000 0.499 0.499 Sm
```

Summary:
- Density: 6766 kg/m3
- Size of the total moment: 0.00 μB/atom
- ΔE_f: 0.0017 eV per atom
- Total energy: -76.368 eV per cell

=====

11.
The following is a PBE calculation of an optimized crystal structure of La3NdSm6, from Alexandria via LeMat-Bulk.

The structure in POSCAR format:
```
La3NdSm6
1.0
5.565 -9.772 0.000
5.565 9.772 0.000
0.000 0.000 6.465
La Nd Sm
6 2 12
direct
0.114 0.886 0.500 La
0.209 0.441 0.886 La
0.441 0.209 0.386 La
0.559 0.791 0.886 La
0.791 0.559 0.386 La
0.886 0.114 0.000 La
0.311 0.689 0.533 Nd
0.689 0.311 0.033 Nd
0.028 0.446 0.294 Sm
0.127 0.214 0.474 Sm
0.214 0.127 0.974 Sm
0.222 0.778 0.068 Sm
0.446 0.028 0.794 Sm
0.466 0.534 0.287 Sm
0.534 0.466 0.787 Sm
0.554 0.972 0.294 Sm
0.778 0.222 0.568 Sm
0.786 0.873 0.474 Sm
0.873 0.786 0.974 Sm
0.972 0.554 0.794 Sm
```

Summary:
- Density: 6911 kg/m3
- Size of the total moment: 0.00 μB/atom
- ΔE_f: 0.1353 eV per atom
- Total energy: -93.024 eV per cell

=====

12.
The following is a PBE calculation of an optimized crystal structure of La3Nd3Sm5, from Alexandria via LeMat-Bulk.

The structure in POSCAR format:
```
La3Nd3Sm5
1.0
9.730 0.000 0.000
-4.865 8.427 0.000
0.000 0.000 5.534
La Nd Sm
3 3 5
direct
0.000 0.363 0.000 La
0.363 0.000 0.000 La
0.637 0.637 0.000 La
0.000 0.505 0.500 Nd
0.495 0.495 0.500 Nd
0.505 0.000 0.500 Nd
0.000 0.730 0.000 Sm
0.270 0.270 0.000 Sm
0.333 0.667 0.000 Sm
0.667 0.333 0.000 Sm
0.730 0.000 0.000 Sm
```

Summary:
- Density: 5860 kg/m3
- Size of the total moment: 0.00 μB/atom
- ΔE_f: 0.6858 eV per atom
- Total energy: -45.138 eV per cell